{"formula": "Tl2BrF2", "functional": "GGA-PBEsol", "state": "relaxed", "lattice_angstrom": [[3.991, 0.000, 0.000], [0.000, 3.991, 0.000], [-1.995, -1.995, 6.598]], "species": ["Tl", "Tl", "F", "F", "Br"], "fractional_positions": [[0.362, 0.362, 0.724], [0.638, 0.638, 0.276], [0.250, 0.750, 0.500], [0.750, 0.250, 0.500], [0.000, 0.000, 0.000]], "magnetic_moment_mub_per_fu": 0.00, "sg": "I4/mmm", "total_energy_ry_per_atom": -0.2596, "crystal_system": "tetragonal", "e_form_raw_ev_per_atom": -1.34}